No. 1
Material: TiPd
Method: DFT, PBE
State: relaxed

Lattice parameters (Å, degrees): 3.1737 3.1737 3.1737 90.00 90.00 90.00
Last column: nearest neighbours and their distance in Å.
Space group Pm-3m (No. 221)
One atom of each set of equivalent atoms:
Ti  0.0000  0.0000  0.0000 x1  8 Pd 2.75
Pd  0.5000  0.5000  0.5000 x1  8 Ti 2.75

Calculated values
**D(E_F)**: 1.968 states/eV per atom
**Energy of formation from the pure elements**: -0.458 eV per atom

No. 2
Material: TiPd
Method: DFT, PBE
State: relaxed

Lattice parameters (Å, degrees): 9.8270 9.8270 2.8414 90.00 90.00 90.00
Last column: nearest neighbours and their distance in Å.
Space group P4/m (No. 83)
One atom of each set of equivalent atoms:
Ti  0.0844  0.6254  0.0000 x4  4 Pd 2.72-2.83, 7 Ti 2.79-2.97
Ti  0.1595  0.3739  0.5000 x4  4 Pd 2.56-2.61, 4 Ti 2.79-2.84
Pd  0.1086  0.1604  0.0000 x4  4 Ti 2.58-2.83, 4 Pd 2.69-2.84
Pd  0.3163  0.5815  0.5000 x4  4 Ti 2.56-2.72, 4 Pd 2.79-2.84

Calculated values
**D(E_F)**: 0.859 states/eV per atom
**Energy of formation from the pure elements**: -0.213 eV per atom

No. 3
Material: Ti3Pd
Method: DFT, PBE
State: relaxed

Lattice parameters (Å, degrees): 2.7598 2.8446 8.7419 90.00 90.00 90.00
Last column: nearest neighbours and their distance in Å.
Space group Pmm2 (No. 25)
One atom of each set of equivalent atoms:
Ti  0.0000  0.0000  0.0000 x1  10 Ti 2.76-2.93
Ti  0.0000  0.5000  0.2934 x1  4 Pd 2.73, 6 Ti 2.76-2.93
Ti  0.5000  0.5000  0.7707 x1  2 Pd 2.69, 8 Ti 2.76-2.84
Pd  0.5000  0.0000  0.5089 x1  6 Ti 2.69-2.73, 4 Pd 2.76-2.84

Calculated values
**D(E_F)**: 1.203 states/eV per atom
**Energy of formation from the pure elements**: -0.058 eV per atom